[1]
Computed, not measured: a relaxed Rb2SeO2F4 crystal at the PBE level of DFT.

a b c (Å): 10.299 5.980 5.039
angles (deg): 90.00 91.45 90.00
Space group C2/m (No. 12)
One atom of each set of equivalent atoms:
Rb: 0.171 0.000 0.291
Se: 0.000 0.500 0.000
O: 0.137 0.500 0.184
F: 0.071 0.271 0.785

Calculated values
Raw formation energy, meV/atom: -1816
E, eV for the cell shown: -78.34
Theoretical density, Mg/m³: 3.83

=====

[2]
Computed, not measured: a relaxed Rb2SiOF6 crystal at the PBE level of DFT.

a b c (Å): 6.050 6.050 9.234
angles (deg): 90.00 90.00 90.00
Space group I4/mmm (No. 139)
One atom of each set of equivalent atoms:
Rb: 0.000 0.500 0.250
Si: 0.000 0.000 0.000
O: 0.000 0.000 0.500
F: 0.000 0.000 0.186
F: 0.201 0.201 0.000

Calculated values
Raw formation energy, meV/atom: -2527
E, eV for the cell shown: -97.63
Theoretical density, Mg/m³: 3.23

=====

[3]
Computed, not measured: a relaxed RbSiO2F crystal at the PBE level of DFT.

a b c (Å): 3.560 3.560 4.560
angles (deg): 90.00 90.00 90.00
Space group P4/mmm (No. 123)
One atom of each set of equivalent atoms:
Rb: 0.000 0.000 0.000
Si: 0.500 0.500 0.500
O: 0.000 0.500 0.500
F: 0.500 0.500 0.000

Calculated values
Raw formation energy, meV/atom: -2067
E, eV for the cell shown: -28.51
Theoretical density, Mg/m³: 4.73

=====

[4]
Computed, not measured: a relaxed RbSiO2F crystal at the PBE level of DFT.

a b c (Å): 4.759 4.759 4.526
angles (deg): 90.00 90.00 90.00
Space group P4/mmm (No. 123)
One atom of each set of equivalent atoms:
Rb: 0.000 0.000 0.000
Si: 0.500 0.500 0.000
O: 0.000 0.500 0.500
F: 0.000 0.000 0.500

Calculated values
Raw formation energy, meV/atom: 644
E, eV for the cell shown: -14.96
Theoretical density, Mg/m³: 2.67

=====

[5]
Computed, not measured: a relaxed RbSiO2F crystal at the PBE level of DFT.

a b c (Å): 4.359 4.359 4.769
angles (deg): 90.00 90.00 90.00
Space group P4/mmm (No. 123)
One atom of each set of equivalent atoms:
Rb: 0.000 0.000 0.000
Si: 0.500 0.500 0.500
O: 0.000 0.500 0.000
F: 0.000 0.000 0.500

Calculated values
Raw formation energy, meV/atom: 503
E, eV for the cell shown: -15.66
Theoretical density, Mg/m³: 3.02

=====

[6]
Computed, not measured: a relaxed RbSnOF2 crystal at the PBE level of DFT.

a b c (Å): 4.847 4.847 4.448
angles (deg): 90.00 90.00 90.00
Space group P4/mmm (No. 123)
One atom of each set of equivalent atoms:
Rb: 0.000 0.000 0.000
Sn: 0.500 0.500 0.500
O: 0.000 0.000 0.500
F: 0.000 0.500 0.000

Calculated values
Raw formation energy, meV/atom: -793
E, eV for the cell shown: -17.64
Theoretical density, Mg/m³: 4.10
Energy relative to the lowest polymorph listed for this composition, meV per atom: 1327

=====

[7]
Computed, not measured: a relaxed RbSnOF2 crystal at the PBE level of DFT.

a b c (Å): 4.669 4.669 4.158
angles (deg): 90.00 90.00 90.00
Space group P4/mmm (No. 123)
One atom of each set of equivalent atoms:
Rb: 0.000 0.000 0.000
Sn: 0.500 0.500 0.500
O: 0.500 0.500 0.000
F: 0.000 0.500 0.500

Calculated values
Raw formation energy, meV/atom: -2121
E, eV for the cell shown: -24.27
Theoretical density, Mg/m³: 4.73
Energy relative to the lowest polymorph listed for this composition, meV per atom: 0

=====

[8]
Computed, not measured: a relaxed RbSrOF2 crystal at the PBE level of DFT.

a b c (Å): 4.786 4.786 4.799
angles (deg): 90.00 90.00 90.00
Space group P4/mmm (No. 123)
One atom of each set of equivalent atoms:
Rb: 0.000 0.000 0.000
Sr: 0.500 0.500 0.500
O: 0.500 0.500 0.000
F: 0.000 0.500 0.500

Calculated values
Raw formation energy, meV/atom: -2530
E, eV for the cell shown: -24.00
Theoretical density, Mg/m³: 3.43
Energy relative to the lowest polymorph listed for this composition, meV per atom: 0